# 1
Density functional theory data (PBE) for KLi4P2 after structural relaxation.

Cell and atoms, written as POSCAR:
```
KLi4P2
1.0
2.156 1.245 8.450
-2.156 1.245 8.450
0.000 -2.490 8.450
K Li P
1 4 2
Direct
0.000 0.000 0.000 K
0.135 0.135 0.135 Li
0.434 0.434 0.434 Li
0.566 0.566 0.566 Li
0.865 0.865 0.865 Li
0.236 0.236 0.236 P
0.764 0.764 0.764 P
```

Computed properties:
Energy of formation from the pure elements in eV per atom: -0.51
SG: R-3m
Mass density in g/cm³: 1.57



# 2
Density functional theory data (PBE) for KLiP2 after structural relaxation.

Cell and atoms, written as POSCAR:
```
KLiP2
1.0
8.764 0.000 0.000
0.000 3.382 0.000
-1.194 0.000 6.087
K Li P
2 2 4
Direct
0.000 0.000 0.000 K
0.500 0.500 0.000 K
0.000 0.500 0.500 Li
0.500 0.000 0.500 Li
0.243 0.000 0.619 P
0.257 0.500 0.381 P
0.743 0.500 0.619 P
0.757 0.000 0.381 P
```

Computed properties:
Energy of formation from the pure elements in eV per atom: -0.43
SG: C2/m
Mass density in g/cm³: 1.99



# 3
Density functional theory data (PBE) for KLiP2 after structural relaxation.

Cell and atoms, written as POSCAR:
```
KLiP2
1.0
4.718 0.000 0.000
0.000 4.718 0.000
0.000 0.000 17.265
K Li P
4 4 8
Direct
0.000 0.250 0.375 K
0.000 0.750 0.625 K
0.500 0.250 0.125 K
0.500 0.750 0.875 K
0.000 0.250 0.875 Li
0.000 0.750 0.125 Li
0.500 0.250 0.625 Li
0.500 0.750 0.375 Li
0.000 0.000 0.000 P
0.000 0.500 0.000 P
0.250 0.250 0.750 P
0.250 0.750 0.250 P
0.500 0.000 0.500 P
0.500 0.500 0.500 P
0.750 0.250 0.750 P
0.750 0.750 0.250 P
```

Computed properties:
Energy of formation from the pure elements in eV per atom: -0.22
SG: I4_1/amd
Mass density in g/cm³: 1.87



# 4
Density functional theory data (PBE) for KLiP2 after structural relaxation.

Cell and atoms, written as POSCAR:
```
KLiP2
1.0
3.631 0.000 0.000
0.000 3.631 0.000
0.000 0.000 6.573
K Li P
1 1 2
Direct
0.000 0.000 0.000 K
0.000 0.000 0.500 Li
0.500 0.500 0.344 P
0.500 0.500 0.656 P
```

Computed properties:
Energy of formation from the pure elements in eV per atom: -0.39
SG: P4/mmm
Mass density in g/cm³: 2.07



# 5
Density functional theory data (PBE) for KLiP2 after structural relaxation.

Cell and atoms, written as POSCAR:
```
KLiP2
1.0
3.362 0.000 0.000
0.000 3.362 0.000
0.000 0.000 8.351
K Li P
1 1 2
Direct
0.000 0.000 0.000 K
0.500 0.500 0.420 Li
0.000 0.000 0.622 P
0.500 0.500 0.710 P
```

Computed properties:
Energy of formation from the pure elements in eV per atom: -0.06
SG: P4mm
Mass density in g/cm³: 1.90



# 6
Density functional theory data (PBE) for KLiP2 after structural relaxation.

Cell and atoms, written as POSCAR:
```
KLiP2
1.0
3.361 0.000 0.000
0.000 4.403 0.000
0.000 0.000 12.553
K Li P
2 2 4
Direct
0.000 0.000 0.000 K
0.500 0.500 0.500 K
0.000 0.500 0.751 Li
0.500 0.000 0.251 Li
0.000 0.000 0.648 P
0.000 0.500 0.268 P
0.500 0.000 0.768 P
0.500 0.500 0.148 P
```

Computed properties:
Energy of formation from the pure elements in eV per atom: -0.39
SG: Imm2
Mass density in g/cm³: 1.93



# 7
Density functional theory data (PBE) for KLiP2 after structural relaxation.

Cell and atoms, written as POSCAR:
```
KLiP2
1.0
8.189 0.000 0.000
0.000 4.421 0.000
-1.293 0.000 5.525
K Li P
2 2 4
Direct
0.000 0.000 0.000 K
0.500 0.500 0.000 K
0.262 0.000 0.543 Li
0.762 0.500 0.543 Li
0.091 0.500 0.581 P
0.261 0.500 0.360 P
0.591 0.000 0.581 P
0.761 0.000 0.360 P
```

Computed properties:
Energy of formation from the pure elements in eV per atom: -0.27
SG: Cm
Mass density in g/cm³: 1.79



# 8
Density functional theory data (PBE) for KLiPPd after structural relaxation.

Cell and atoms, written as POSCAR:
```
KLiPPd
1.0
4.197 0.000 0.000
-2.099 3.635 0.000
0.000 0.000 17.553
K Li P Pd
3 3 3 3
Direct
0.000 0.000 0.000 K
0.333 0.667 0.667 K
0.667 0.333 0.333 K
0.000 0.000 0.816 Li
0.333 0.667 0.483 Li
0.667 0.333 0.149 Li
0.000 0.000 0.194 P
0.333 0.667 0.861 P
0.667 0.333 0.527 P
0.000 0.000 0.523 Pd
0.333 0.667 0.190 Pd
0.667 0.333 0.857 Pd
```

Computed properties:
Energy of formation from the pure elements in eV per atom: -0.52
SG: R3m
Mass density in g/cm³: 3.41



# 9
Density functional theory data (PBE) for KLiPPd2 after structural relaxation.

Cell and atoms, written as POSCAR:
```
KLiPPd2
1.0
4.653 0.000 0.000
0.000 4.653 0.000
0.000 0.000 4.841
K Li P Pd
1 1 1 2
Direct
0.000 0.000 0.000 K
0.500 0.500 0.000 Li
0.500 0.500 0.500 P
0.000 0.500 0.500 Pd
0.500 0.000 0.500 Pd
```

Computed properties:
Energy of formation from the pure elements in eV per atom: -0.37
SG: P4/mmm
Mass density in g/cm³: 4.59



# 10
Density functional theory data (PBE) for KLi2PPd after structural relaxation.

Cell and atoms, written as POSCAR:
```
KLi2PPd
1.0
4.803 0.000 0.000
0.000 4.803 0.000
0.000 0.000 4.692
K Li P Pd
1 2 1 1
Direct
0.000 0.000 0.000 K
0.000 0.500 0.500 Li
0.500 0.000 0.500 Li
0.500 0.500 0.500 P
0.500 0.500 0.000 Pd
```

Computed properties:
Energy of formation from the pure elements in eV per atom: -0.44
SG: P4/mmm
Mass density in g/cm³: 2.92



# 11
Density functional theory data (PBE) for KLiP2Pt4 after structural relaxation.

Cell and atoms, written as POSCAR:
```
KLiP2Pt4
1.0
4.023 0.000 0.000
0.000 4.023 0.000
0.000 0.000 9.661
K Li P Pt
1 1 2 4
Direct
0.000 0.000 0.000 K
0.000 0.000 0.500 Li
0.500 0.500 0.209 P
0.500 0.500 0.791 P
0.000 0.500 0.327 Pt
0.000 0.500 0.673 Pt
0.500 0.000 0.327 Pt
0.500 0.000 0.673 Pt
```

Computed properties:
Energy of formation from the pure elements in eV per atom: -0.54
SG: P4/mmm
Mass density in g/cm³: 9.43



# 12
Density functional theory data (PBE) for K2RbLiP after structural relaxation.

Cell and atoms, written as POSCAR:
```
K2RbLiP
1.0
6.582 0.000 0.000
0.000 6.582 0.000
0.000 0.000 4.914
K Rb Li P
2 1 1 1
Direct
0.000 0.500 0.000 K
0.500 0.000 0.000 K
0.000 0.000 0.500 Rb
0.500 0.500 0.500 Li
0.500 0.500 0.000 P
```

Computed properties:
Energy of formation from the pure elements in eV per atom: -0.14
SG: P4/mmm
Mass density in g/cm³: 1.57